PBE YAs2PSe, relaxed; SG = P4/mmm (123); D(E_F) = 1.2441 states/eV/atom; E above lowest polymorph = 4.27 eV/f.u.; crystal system = tetragonal; energy relative to the elements, uncorrected = 0.72 eV per atom; calculated volume = 162.68 Å³/f.u.; total moment = 1.036 μB per formula unit
1.0
5.5316 0.0000 0.0000
0.0000 5.5316 0.0000
0.0000 0.0000 5.3167
Y P As Se
1 1 2 1
Direct
0.0000 0.0000 0.0000
0.5000 0.5000 0.5000
0.0000 0.5000 0.0000
0.5000 0.0000 0.0000
0.0000 0.0000 0.5000